(a)
! SmHgTe (GGA-PBE, relaxed); values from VASP
! Space group: No. 156
&SYSTEM
  ibrav = 0, nat = 3, ntyp = 3
/
ATOMIC_SPECIES
Sm 150.36 Sm.upf
Hg 200.59 Hg.upf
Te 127.60 Te.upf
ATOMIC_POSITIONS crystal
Sm 0.000 0.000 0.000
Hg 0.333 0.667 0.290
Te 0.667 0.333 0.579
CELL_PARAMETERS angstrom
5.022 0.000 0.000
-2.511 4.349 0.000
0.000 0.000 3.998

---

(b)
! SmHgTe (GGA-PBE, relaxed); values from VASP
! Space group: No. 63
&SYSTEM
  ibrav = 0, nat = 6, ntyp = 3
/
ATOMIC_SPECIES
Sm 150.36 Sm.upf
Hg 200.59 Hg.upf
Te 127.60 Te.upf
ATOMIC_POSITIONS crystal
Sm 0.120 0.880 0.750
Sm 0.880 0.120 0.250
Hg 0.468 0.532 0.250
Hg 0.532 0.468 0.750
Te 0.188 0.812 0.250
Te 0.812 0.188 0.750
CELL_PARAMETERS angstrom
1.915 -13.982 0.000
1.915 13.982 0.000
0.000 0.000 4.514

---

(c)
! SmHgTe (GGA-PBE, relaxed); values from VASP
! Space group: No. 62
&SYSTEM
  ibrav = 0, nat = 12, ntyp = 3
/
ATOMIC_SPECIES
Sm 150.36 Sm.upf
Hg 200.59 Hg.upf
Te 127.60 Te.upf
ATOMIC_POSITIONS crystal
Sm 0.147 0.250 0.249
Sm 0.353 0.750 0.749
Sm 0.647 0.250 0.251
Sm 0.853 0.750 0.751
Hg 0.000 0.250 0.750
Hg 0.000 0.750 0.250
Hg 0.500 0.250 0.750
Hg 0.500 0.750 0.250
Te 0.175 0.750 0.749
Te 0.325 0.250 0.249
Te 0.675 0.750 0.751
Te 0.825 0.250 0.251
CELL_PARAMETERS angstrom
18.012 0.000 0.000
0.000 4.397 0.000
0.000 0.000 4.396

---

Going by the energies, (c) is most stable and the next is 318 meV per atom up.

---

(a)
! Sm5Hg2Te (GGA-PBE, relaxed); values from VASP
! Space group: No. 140
&SYSTEM
  ibrav = 0, nat = 16, ntyp = 3
/
ATOMIC_SPECIES
Sm 150.36 Sm.upf
Hg 200.59 Hg.upf
Te 127.60 Te.upf
ATOMIC_POSITIONS crystal
Sm 0.000 0.000 0.000
Sm 0.007 0.507 0.809
Sm 0.198 0.007 0.500
Sm 0.302 0.802 0.809
Sm 0.493 0.302 0.500
Sm 0.500 0.500 0.000
Sm 0.507 0.698 0.500
Sm 0.698 0.198 0.191
Sm 0.802 0.993 0.500
Sm 0.993 0.493 0.191
Hg 0.140 0.360 0.500
Hg 0.360 0.860 0.220
Hg 0.640 0.140 0.780
Hg 0.860 0.640 0.500
Te 0.250 0.250 0.000
Te 0.750 0.750 0.000
CELL_PARAMETERS angstrom
-4.283 4.283 6.441
4.283 -4.283 6.441
4.283 4.283 -6.441

---

(b)
! Sm5Hg2Te (GGA-PBE, relaxed); values from VASP
! Space group: No. 63
&SYSTEM
  ibrav = 0, nat = 16, ntyp = 3
/
ATOMIC_SPECIES
Sm 150.36 Sm.upf
Hg 200.59 Hg.upf
Te 127.60 Te.upf
ATOMIC_POSITIONS crystal
Sm 0.060 0.940 0.607
Sm 0.060 0.940 0.893
Sm 0.342 0.658 0.250
Sm 0.393 0.607 0.577
Sm 0.393 0.607 0.923
Sm 0.607 0.393 0.077
Sm 0.607 0.393 0.423
Sm 0.658 0.342 0.750
Sm 0.940 0.060 0.107
Sm 0.940 0.060 0.393
Hg 0.209 0.791 0.067
Hg 0.209 0.791 0.433
Hg 0.791 0.209 0.567
Hg 0.791 0.209 0.933
Te 0.247 0.753 0.750
Te 0.753 0.247 0.250
CELL_PARAMETERS angstrom
2.896 -6.326 0.000
2.896 6.326 0.000
0.000 0.000 14.349

---

Going by the energies, (a) is most stable and the next is 193 meV per atom up.

---

(a)
! Sm2HgTe (GGA-PBE, relaxed); values from VASP
! Space group: No. 166
&SYSTEM
  ibrav = 0, nat = 4, ntyp = 3
/
ATOMIC_SPECIES
Sm 150.36 Sm.upf
Hg 200.59 Hg.upf
Te 127.60 Te.upf
ATOMIC_POSITIONS crystal
Sm 0.249 0.249 0.249
Sm 0.751 0.751 0.751
Hg 0.000 0.000 0.000
Te 0.500 0.500 0.500
CELL_PARAMETERS angstrom
2.133 1.231 7.786
-2.133 1.231 7.786
0.000 -2.463 7.786

---

(b)
! Sm2HgTe (GGA-PBE, relaxed); values from VASP
! Space group: No. 123
&SYSTEM
  ibrav = 0, nat = 4, ntyp = 3
/
ATOMIC_SPECIES
Sm 150.36 Sm.upf
Hg 200.59 Hg.upf
Te 127.60 Te.upf
ATOMIC_POSITIONS crystal
Sm 0.000 0.000 0.250
Sm 0.000 0.000 0.750
Hg 0.500 0.500 0.000
Te 0.500 0.500 0.500
CELL_PARAMETERS angstrom
3.950 0.000 0.000
0.000 3.950 0.000
0.000 0.000 7.132

---

Going by the energies, (a) is most stable and the next is 91 meV per atom up.

---

(a)
! Sm5HgTe4 (GGA-PBE, relaxed); values from VASP
! Space group: No. 139
&SYSTEM
  ibrav = 0, nat = 10, ntyp = 3
/
ATOMIC_SPECIES
Sm 150.36 Sm.upf
Hg 200.59 Hg.upf
Te 127.60 Te.upf
ATOMIC_POSITIONS crystal
Sm 0.000 0.000 0.000
Sm 0.198 0.198 0.000
Sm 0.401 0.401 0.000
Sm 0.599 0.599 0.000
Sm 0.802 0.802 0.000
Hg 0.500 0.500 0.000
Te 0.100 0.100 0.000
Te 0.300 0.300 0.000
Te 0.700 0.700 0.000
Te 0.900 0.900 0.000
CELL_PARAMETERS angstrom
-2.216 2.216 15.718
2.216 -2.216 15.718
2.216 2.216 -15.718

---

(b)
! Sm5HgTe4 (GGA-PBE, relaxed); values from VASP
! Space group: No. 87
&SYSTEM
  ibrav = 0, nat = 10, ntyp = 3
/
ATOMIC_SPECIES
Sm 150.36 Sm.upf
Hg 200.59 Hg.upf
Te 127.60 Te.upf
ATOMIC_POSITIONS crystal
Sm 0.000 0.000 0.000
Sm 0.207 0.599 0.806
Sm 0.401 0.207 0.608
Sm 0.599 0.793 0.392
Sm 0.793 0.401 0.194
Hg 0.500 0.500 0.000
Te 0.096 0.302 0.399
Te 0.302 0.904 0.206
Te 0.698 0.096 0.794
Te 0.904 0.698 0.601
CELL_PARAMETERS angstrom
-4.960 4.960 3.140
4.960 -4.960 3.140
4.960 4.960 -3.140

---

Going by the energies, (b) is most stable and the next is 28 meV per atom up.

---

(a)
! Sm4ThHg (GGA-PBE, relaxed); values from VASP
! Space group: No. 123
&SYSTEM
  ibrav = 0, nat = 6, ntyp = 3
/
ATOMIC_SPECIES
Sm 150.36 Sm.upf
Th 232.04 Th.upf
Hg 200.59 Hg.upf
ATOMIC_POSITIONS crystal
Sm 0.000 0.000 0.143
Sm 0.000 0.000 0.857
Sm 0.500 0.500 0.328
Sm 0.500 0.500 0.672
Th 0.000 0.000 0.500
Hg 0.500 0.500 0.000
CELL_PARAMETERS angstrom
3.643 0.000 0.000
0.000 3.643 0.000
0.000 0.000 14.217

---

(b)
! Sm4ThHg (GGA-PBE, relaxed); values from VASP
! Space group: No. 15
&SYSTEM
  ibrav = 0, nat = 12, ntyp = 3
/
ATOMIC_SPECIES
Sm 150.36 Sm.upf
Th 232.04 Th.upf
Hg 200.59 Hg.upf
ATOMIC_POSITIONS crystal
Sm 0.080 0.707 0.940
Sm 0.189 0.387 0.643
Sm 0.293 0.920 0.560
Sm 0.387 0.189 0.143
Sm 0.613 0.811 0.857
Sm 0.707 0.080 0.440
Sm 0.811 0.613 0.357
Sm 0.920 0.293 0.060
Th 0.391 0.609 0.250
Th 0.609 0.391 0.750
Hg 0.002 0.998 0.250
Hg 0.998 0.002 0.750
CELL_PARAMETERS angstrom
4.524 -7.116 0.000
4.524 7.116 0.000
-2.310 0.000 5.962

---

Going by the energies, (a) is most stable and the next is 99 meV per atom up.

---

(a)
! SmTh2Hg (GGA-PBE, relaxed); values from VASP
! Space group: No. 123
&SYSTEM
  ibrav = 0, nat = 4, ntyp = 3
/
ATOMIC_SPECIES
Sm 150.36 Sm.upf
Th 232.04 Th.upf
Hg 200.59 Hg.upf
ATOMIC_POSITIONS crystal
Sm 0.000 0.000 0.000
Th 0.500 0.500 0.271
Th 0.500 0.500 0.729
Hg 0.000 0.000 0.500
CELL_PARAMETERS angstrom
3.559 0.000 0.000
0.000 3.559 0.000
0.000 0.000 9.719

---

(b)
! SmTh2Hg (GGA-PBE, relaxed); values from VASP
! Space group: No. 166
&SYSTEM
  ibrav = 0, nat = 4, ntyp = 3
/
ATOMIC_SPECIES
Sm 150.36 Sm.upf
Th 232.04 Th.upf
Hg 200.59 Hg.upf
ATOMIC_POSITIONS crystal
Sm 0.000 0.000 0.000
Th 0.093 0.093 0.093
Th 0.907 0.907 0.907
Hg 0.500 0.500 0.500
CELL_PARAMETERS angstrom
1.710 0.987 12.241
-1.710 0.987 12.241
0.000 -1.975 12.241

---

Going by the energies, (a) is most stable and the next is 185 meV per atom up.

---

(a)
! SmThHg2 (GGA-PBE, relaxed); values from VASP
! Space group: No. 123
&SYSTEM
  ibrav = 0, nat = 4, ntyp = 3
/
ATOMIC_SPECIES
Sm 150.36 Sm.upf
Th 232.04 Th.upf
Hg 200.59 Hg.upf
ATOMIC_POSITIONS crystal
Sm 0.000 0.000 0.000
Th 0.000 0.000 0.500
Hg 0.500 0.500 0.240
Hg 0.500 0.500 0.760
CELL_PARAMETERS angstrom
3.768 0.000 0.000
0.000 3.768 0.000
0.000 0.000 7.769

---

(b)
! SmThHg2 (GGA-PBE, relaxed); values from VASP
! Space group: No. 225
&SYSTEM
  ibrav = 0, nat = 4, ntyp = 3
/
ATOMIC_SPECIES
Sm 150.36 Sm.upf
Th 232.04 Th.upf
Hg 200.59 Hg.upf
ATOMIC_POSITIONS crystal
Sm 0.000 0.000 0.000
Th 0.500 0.500 0.500
Hg 0.250 0.250 0.250
Hg 0.750 0.750 0.750
CELL_PARAMETERS angstrom
0.000 3.815 3.815
3.815 0.000 3.815
3.815 3.815 0.000

---

Going by the energies, (a) is most stable and the next is 19 meV per atom up.

---

(a)
! Sm6TlHg5 (GGA-PBE, relaxed); values from VASP
! Space group: No. 10
&SYSTEM
  ibrav = 0, nat = 12, ntyp = 3
/
ATOMIC_SPECIES
Sm 150.36 Sm.upf
Tl 204.38 Tl.upf
Hg 200.59 Hg.upf
ATOMIC_POSITIONS crystal
Sm 0.000 0.246 0.000
Sm 0.000 0.754 0.000
Sm 0.333 0.248 0.664
Sm 0.333 0.752 0.664
Sm 0.667 0.248 0.336
Sm 0.667 0.752 0.336
Tl 0.500 0.500 0.000
Hg 0.165 0.500 0.332
Hg 0.166 0.000 0.333
Hg 0.500 0.000 0.000
Hg 0.834 0.000 0.667
Hg 0.835 0.500 0.668
CELL_PARAMETERS angstrom
5.364 0.000 0.000
0.000 7.662 0.000
-2.689 0.000 8.059

---

(b)
! Sm6TlHg5 (GGA-PBE, relaxed); values from VASP
! Space group: No. 12
&SYSTEM
  ibrav = 0, nat = 12, ntyp = 3
/
ATOMIC_SPECIES
Sm 150.36 Sm.upf
Tl 204.38 Tl.upf
Hg 200.59 Hg.upf
ATOMIC_POSITIONS crystal
Sm 0.066 0.410 0.732
Sm 0.218 0.218 0.226
Sm 0.410 0.066 0.732
Sm 0.590 0.934 0.268
Sm 0.782 0.782 0.774
Sm 0.934 0.590 0.268
Tl 0.500 0.500 0.000
Hg 0.000 0.000 0.500
Hg 0.193 0.807 0.000
Hg 0.365 0.635 0.500
Hg 0.635 0.365 0.500
Hg 0.807 0.193 0.000
CELL_PARAMETERS angstrom
3.393 -5.867 0.000
3.393 5.867 0.000
-2.226 0.000 9.060

---

Going by the energies, (a) is most stable and the next is 137 meV per atom up.

---

(a)
! SmTlHg3 (GGA-PBE, relaxed); values from VASP
! Space group: No. 160
&SYSTEM
  ibrav = 0, nat = 5, ntyp = 3
/
ATOMIC_SPECIES
Sm 150.36 Sm.upf
Tl 204.38 Tl.upf
Hg 200.59 Hg.upf
ATOMIC_POSITIONS crystal
Sm 0.000 0.000 0.000
Tl 0.480 0.480 0.480
Hg 0.412 0.874 0.874
Hg 0.874 0.412 0.874
Hg 0.874 0.874 0.412
CELL_PARAMETERS angstrom
4.906 2.832 2.172
-4.906 2.832 2.172
0.000 -5.664 2.172

---

(b)
! SmTlHg3 (GGA-PBE, relaxed); values from VASP
! Space group: No. 59
&SYSTEM
  ibrav = 0, nat = 10, ntyp = 3
/
ATOMIC_SPECIES
Sm 150.36 Sm.upf
Tl 204.38 Tl.upf
Hg 200.59 Hg.upf
ATOMIC_POSITIONS crystal
Sm 0.250 0.250 0.092
Sm 0.750 0.750 0.908
Tl 0.250 0.750 0.463
Tl 0.750 0.250 0.537
Hg 0.250 0.002 0.761
Hg 0.250 0.498 0.761
Hg 0.250 0.750 0.119
Hg 0.750 0.250 0.881
Hg 0.750 0.502 0.239
Hg 0.750 0.998 0.239
CELL_PARAMETERS angstrom
4.934 0.000 0.000
0.000 6.541 0.000
0.000 0.000 8.891

---

Going by the energies, (b) is most stable and the next is 250 meV per atom up.

---

(a)
! Sm4Tl2Hg3 (GGA-PBE, relaxed); values from VASP
! Space group: No. 64
&SYSTEM
  ibrav = 0, nat = 18, ntyp = 3
/
ATOMIC_SPECIES
Sm 150.36 Sm.upf
Tl 204.38 Tl.upf
Hg 200.59 Hg.upf
ATOMIC_POSITIONS crystal
Sm 0.189 0.811 0.957
Sm 0.223 0.277 0.750
Sm 0.277 0.223 0.250
Sm 0.311 0.689 0.457
Sm 0.689 0.311 0.543
Sm 0.723 0.777 0.750
Sm 0.777 0.723 0.250
Sm 0.811 0.189 0.043
Tl 0.113 0.887 0.561
Tl 0.387 0.613 0.061
Tl 0.613 0.387 0.939
Tl 0.887 0.113 0.439
Hg 0.000 0.000 0.000
Hg 0.031 0.469 0.750
Hg 0.469 0.031 0.250
Hg 0.500 0.500 0.500
Hg 0.531 0.969 0.750
Hg 0.969 0.531 0.250
CELL_PARAMETERS angstrom
3.671 -7.989 0.000
3.671 7.989 0.000
0.000 0.000 9.157

---

(b)
! Sm4Tl2Hg3 (GGA-PBE, relaxed); values from VASP
! Space group: No. 12
&SYSTEM
  ibrav = 0, nat = 9, ntyp = 3
/
ATOMIC_SPECIES
Sm 150.36 Sm.upf
Tl 204.38 Tl.upf
Hg 200.59 Hg.upf
ATOMIC_POSITIONS crystal
Sm 0.027 0.027 0.328
Sm 0.324 0.324 0.889
Sm 0.676 0.676 0.111
Sm 0.973 0.973 0.672
Tl 0.354 0.354 0.222
Tl 0.646 0.646 0.778
Hg 0.000 0.000 0.000
Hg 0.310 0.310 0.570
Hg 0.690 0.690 0.430
CELL_PARAMETERS angstrom
4.530 -2.712 0.000
4.530 2.712 0.000
-1.071 0.000 10.286

---

Going by the energies, (b) is most stable and the next is 73 meV per atom up.

---

(a)
! Sm3TlHg4 (GGA-PBE, relaxed); values from VASP
! Space group: No. 166
&SYSTEM
  ibrav = 0, nat = 8, ntyp = 3
/
ATOMIC_SPECIES
Sm 150.36 Sm.upf
Tl 204.38 Tl.upf
Hg 200.59 Hg.upf
ATOMIC_POSITIONS crystal
Sm 0.000 0.000 0.000
Sm 0.241 0.241 0.241
Sm 0.759 0.759 0.759
Tl 0.500 0.500 0.500
Hg 0.119 0.119 0.119
Hg 0.368 0.368 0.368
Hg 0.632 0.632 0.632
Hg 0.881 0.881 0.881
CELL_PARAMETERS angstrom
2.633 1.520 8.937
-2.633 1.520 8.937
0.000 -3.040 8.937

---

(b)
! Sm3TlHg4 (GGA-PBE, relaxed); values from VASP
! Space group: No. 71
&SYSTEM
  ibrav = 0, nat = 8, ntyp = 3
/
ATOMIC_SPECIES
Sm 150.36 Sm.upf
Tl 204.38 Tl.upf
Hg 200.59 Hg.upf
ATOMIC_POSITIONS crystal
Sm 0.000 0.000 0.000
Sm 0.281 0.781 0.500
Sm 0.719 0.219 0.500
Tl 0.500 0.500 0.000
Hg 0.088 0.372 0.716
Hg 0.344 0.628 0.716
Hg 0.656 0.372 0.284
Hg 0.912 0.628 0.284
CELL_PARAMETERS angstrom
-1.826 3.596 8.797
1.826 -3.596 8.797
1.826 3.596 -8.797

---

Going by the energies, (a) is most stable and the next is 118 meV per atom up.